VASP calculation (GGA-PBE) on an optimized crystal structure of Co8Ge.

Summary:
Its formation energy is -0.0315 eV per atom. For the total moment, the calculation gives 11.57 Bohr magnetons per cell. The density of states at the Fermi level comes out at 9.628 states/eV/f.u.

abc: 5.5969 5.5969 5.5969
angles: 95.78 95.78 143.00
With the nearest neighbours (Å) after each atom.
Fractional positions:
Co 0.0000 0.3396 0.3396  11 Co 2.41-2.53, 1 Ge 2.55
Co 0.0000 0.6604 0.6604  11 Co 2.41-2.53, 1 Ge 2.55
Co 0.3283 0.3283 0.6567  10 Co 2.43-2.58, 2 Ge 2.54
Co 0.3283 0.6717 0.0000  10 Co 2.43-2.58, 2 Ge 2.54
Co 0.3396 0.0000 0.3396  11 Co 2.41-2.53, 1 Ge 2.55
Co 0.6604 0.0000 0.6604  11 Co 2.41-2.53, 1 Ge 2.55
Co 0.6717 0.3283 0.0000  10 Co 2.43-2.58, 2 Ge 2.54
Co 0.6717 0.6717 0.3433  10 Co 2.43-2.58, 2 Ge 2.54
Ge 0.0000 0.0000 0.0000  12 Co 2.54-2.55